Here is SmBeRh3 after structural relaxation from Alexandria via LeMat-Bulk. Energies are from PBE.

Computed properties:
Total magnetic moment = 0.0 μB/cell
V = 79 Å³/f.u.
SG = Pm-3m (221)
ΔH_f (0 K) = -547 meV per atom

Cell: 4.2907 4.2907 4.2907 Å, 90.00 90.00 90.00°
Element x y z (fractional)
Be (0.0000, 0.0000, 0.0000)
Rh (0.0000, 0.5000, 0.0000)
Rh (0.0000, 0.0000, 0.5000)
Rh (0.5000, 0.0000, 0.0000)
Sm (0.5000, 0.5000, 0.5000)



Here is SmTiBeRh2 after structural relaxation from Alexandria via LeMat-Bulk. Energies are from PBE.

Computed properties:
Total magnetic moment = 0.0 μB/cell
V = 87 Å³/f.u.
SG = I-4m2 (119)
ΔH_f (0 K) = -608 meV per atom

Cell: 3.9031 3.9031 6.3544 Å, 107.89 107.89 90.00°
Element x y z (fractional)
Sm (0.0000, 0.0000, 0.0000)
Ti (0.2500, 0.7500, 0.5000)
Be (0.7500, 0.2500, 0.5000)
Rh (0.6192, 0.6192, 0.2384)
Rh (0.3808, 0.3808, 0.7616)



Here is SmBeZn2Rh2 after structural relaxation from Alexandria via LeMat-Bulk. Energies are from PBE.

Computed properties:
Total magnetic moment = 0.0 μB/cell
V = 100 Å³/f.u.
SG = P4/mmm (123)
ΔH_f (0 K) = -466 meV per atom

Cell: 4.2603 4.2603 5.5332 Å, 90.00 90.00 90.00°
Element x y z (fractional)
Sm (0.0000, 0.0000, 0.5000)
Be (0.0000, 0.0000, 0.0000)
Zn (0.5000, 0.5000, 0.7300)
Zn (0.5000, 0.5000, 0.2700)
Rh (0.5000, 0.0000, 0.0000)
Rh (0.0000, 0.5000, 0.0000)



Here is BeSn2Rh2 after structural relaxation from Alexandria via LeMat-Bulk. Energies are from PBE.

Computed properties:
Total magnetic moment = 0.0 μB/cell
Excess energy over the best structure of this formula in the dataset = 0.614 eV/atom
V = 99 Å³/f.u.
SG = I4/mmm (139)
ΔH_f (0 K) = 344 meV per atom

Cell: 4.0927 4.0927 6.5836 Å, 71.89 71.89 90.00°
Element x y z (fractional)
Be (0.0000, 0.0000, 0.0000)
Rh (0.3932, 0.3932, 0.2137)
Rh (0.6068, 0.6068, 0.7863)
Sn (0.7500, 0.2500, 0.5000)
Sn (0.2500, 0.7500, 0.5000)